(1)
ZnHg2Mo | GGA-PBE | optimized geometry

a b c (Å): 2.869 2.869 9.282
angles (deg): 90.00 90.00 90.00
Space group P4mm (No. 99)
Inequivalent atoms, fractional coordinates:
Zn 0.000 0.000 0.000 (multiplicity 1)
Hg 0.000 0.000 0.556 (multiplicity 1)
Hg 0.500 0.500 0.255 (multiplicity 1)
Mo 0.500 0.500 0.798 (multiplicity 1)

Results
mass density	12.23	g/cm3
formation enthalpy at 0 K	0.35	eV per atom

---

(2)
VCuNi | GGA-PBE | optimized geometry

a b c (Å): 3.044 3.044 7.822
angles (deg): 90.00 90.00 90.00
Space group I4mm (No. 107)
Inequivalent atoms, fractional coordinates:
V 0.000 0.000 0.000 (multiplicity 2)
Cu 0.000 0.000 0.674 (multiplicity 2)
Ni 0.000 0.000 0.338 (multiplicity 2)

Results
mass density	7.94	g/cm3
formation enthalpy at 0 K	-0.02	eV per atom
energy above the lowest structure with this stoichiometry	0.010	eV/atom

---

(3)
In2FeCl | GGA-PBE | optimized geometry

a b c (Å): 7.186 7.186 7.186
angles (deg): 90.00 90.00 90.00
Space group Fm-3m (No. 225)
Inequivalent atoms, fractional coordinates:
In 0.250 0.250 0.250 (multiplicity 8)
Fe 0.000 0.000 0.000 (multiplicity 4)
Cl 0.000 0.000 0.500 (multiplicity 4)

Results
mass density	5.74	g/cm3
energy above the lowest structure with this stoichiometry	0.416	eV/atom
ΔE_f (raw)	1.31	eV per formula unit